NaSnSb2: optimized geometry, PBE.

## Properties
Total energy in eV/atom: -3.468
Magnetization in μB per atom: 0.000
Energy relative to the elements, uncorrected in eV per atom: -0.077
Symmetry: P4/mmm
Calculated density in Mg/m³: 5.5

a = 4.268 Å, b = 4.268 Å, c = 6.376 Å
α = 90.00°, β = 90.00°, γ = 90.00°
Fractional coordinates of all 4 atoms:
Na1 0.000 0.000 0.000
Sn1 0.000 0.000 0.500
Sb1 0.500 0.500 0.274
Sb2 0.500 0.500 0.726